{"formula": "Sc5Ir", "functional": "PBE-GGA", "state": "relaxed", "lattice_angstrom": [[0.000, 3.992, 3.992], [3.992, 0.000, 3.992], [3.992, 3.992, 0.000]], "species": ["Sc", "Sc", "Sc", "Sc", "Sc", "Ir"], "frac_coords": [[0.000, 0.000, 0.000], [0.128, 0.624, 0.624], [0.624, 0.128, 0.624], [0.624, 0.624, 0.128], [0.624, 0.624, 0.624], [0.250, 0.250, 0.250]], "final_energy_ev_per_fu": -38.93}